1.
## LiFePO4 (SCAN)

Data for LiFePO4 at its PBEsol-relaxed geometry.

Summary:
**Size of the total moment**: 4.00 μB per formula unit
**Offset from the most stable computed form**: 28 meV/atom
**Formation energy (no corrections)**: -2.22 eV/atom
**Crystal system**: tetragonal

```
LiFePO4
1.0
5.6188 0.0000 0.0000
0.0000 5.6188 0.0000
0.0000 0.0000 8.0223
Li Fe P O
4 4 4 16
Cartesian
2.8094 4.1423 0.0000 Li
2.8094 1.4766 4.0111 Li
4.1423 2.8094 2.0056 Li
1.4766 2.8094 6.0167 Li
0.0000 4.2676 0.0000 Fe
0.0000 1.3513 4.0111 Fe
4.2676 0.0000 2.0056 Fe
1.3513 0.0000 6.0167 Fe
4.1773 4.1773 5.0139 P
4.1773 1.4415 7.0195 P
1.4415 4.1773 3.0084 P
1.4415 1.4415 1.0028 P
2.7029 4.2150 2.1090 O
2.7029 1.4038 1.9021 O
4.2150 2.7029 7.9188 O
4.2150 2.9159 4.1146 O
1.4038 2.7029 0.1034 O
1.4038 2.9159 3.9077 O
2.9159 4.2150 5.9133 O
2.9159 1.4038 6.1202 O
4.2041 5.4661 4.1174 O
4.2041 0.1527 7.9160 O
0.1527 4.2041 2.1118 O
0.1527 1.4147 1.8993 O
5.4661 4.2041 5.9105 O
5.4661 1.4147 6.1229 O
1.4147 5.4661 3.9049 O
1.4147 0.1527 0.1062 O
```


2.
## KLiFe2 (SCAN)

Data for KLiFe2 at its PBEsol-relaxed geometry.

Summary:
**Size of the total moment**: 5.43 μB per formula unit
**Offset from the most stable computed form**: 348 meV/atom
**Energy of formation**: 1.048 eV per atom
**Crystal system**: cubic

```
KLiFe2
1.0
4.6107 0.0000 0.0000
2.3054 3.9930 0.0000
2.3054 1.3310 3.7647
Fe K Li
2 1 1
Cartesian
0.0000 0.0000 0.0000 Fe
6.9161 3.9930 2.8235 Fe
4.6107 2.6620 1.8823 K
2.3054 1.3310 0.9412 Li
```


3.
## LaGe2 (SCAN)

Data for LaGe2 at its PBEsol-relaxed geometry.

Summary:
**Size of the total moment**: 0.00 μB per formula unit
**Energy of formation**: -0.790 eV per atom
**Crystal system**: tetragonal

```
LaGe2
1.0
-1.7699 -3.4980 -1.6017
3.6478 -0.9655 -1.9223
1.3007 -1.7670 8.0204
La Ge
2 4
Cartesian
0.2349 -3.7484 2.3283 La
0.9390 -2.2318 -1.7620 La
3.3093 -3.1349 3.1896 Ge
2.8130 -5.5778 3.4747 Ge
2.5781 -1.8294 1.1464 Ge
0.3656 -0.6528 1.0216 Ge
```


4.
## Sc3SiBi (SCAN)

Data for Sc3SiBi at its PBEsol-relaxed geometry.

Summary:
**Size of the total moment**: 0.00 μB per formula unit
**Formation energy (no corrections)**: -0.44 eV/atom
**Crystal system**: cubic

```
Sc3SiBi
1.0
4.9492 0.0000 0.0000
0.0000 4.9492 0.0000
0.0000 0.0000 4.9492
Sc Si Bi
3 1 1
Cartesian
0.0000 2.4746 0.0000 Sc
0.0000 0.0000 2.4746 Sc
2.4746 0.0000 0.0000 Sc
0.0000 0.0000 0.0000 Si
2.4746 2.4746 2.4746 Bi
```